Entry from Alexandria: a crystal of FeSbTe2N relaxed with PBEsol (SCAN).

Output
- Energy relative to the elements, uncorrected: 1.290 eV per atom
- Electronic total energy: -132.7 eV/f.u.
- Crystal system: tetragonal
- Space group: P4/mmm, No. 123

a = 5.0069 Å, b = 5.0069 Å, c = 4.8786 Å
α = 90.00°, β = 90.00°, γ = 90.00°
Closest atoms and distances in Å follow each position.
Sites, in units of the cell vectors:
Fe (0.0000, 0.0000, 0.0000)  2 Sb 2.44, 4 Te 2.50
Sb (0.0000, 0.0000, 0.5000)  2 Fe 2.44
Te (0.0000, 0.5000, 0.0000)  2 Fe 2.50
Te (0.5000, 0.0000, 0.0000)  2 Fe 2.50
N (0.5000, 0.5000, 0.5000)  8 Te 3.50, 4 Sb 3.54